4
Lattice="4.8628 0.0000 0.0000 -0.0040 4.8628 0.0000 -2.4294 -2.4314 3.4399" Properties=species:S:1:pos:R:3 comment="TePCl2 (GGA-PBE, optimized geometry)" mass_density_g_cm3=4.7 e_form_raw_mev_per_atom=308 sg=F-43m polymorph_energy_mev_per_atom=507.7 total_magnetization_mub_per_cell=0.00 pbc="T T T"
Cl 0.0000 0.0000 0.0000
Cl -0.0020 2.4314 1.7200
P 2.4294 2.4314 0.0000
Te 2.4314 0.0000 1.7200